(1)
Material: CdRhCl3
Method: DFT, PBE
State: optimized geometry

crystal system	cubic
formation energy from raw total energies	-6.6	kcal/mol of atoms
distance to the lowest polymorph of the same formula	0.000	eV/f.u.

Unit cell a=4.8295 b=4.8295 c=4.8295 alpha=90.00 beta=90.00 gamma=90.00
With the nearest neighbours (Å) after each atom.
Space group Pm-3m (No. 221)
Inequivalent atoms, fractional coordinates:
Cd1 0.0000 0.0000 0.0000  12 Cl 3.41
Rh1 0.5000 0.5000 0.5000  6 Cl 2.41
Cl1 0.0000 0.5000 0.5000  2 Rh 2.41

=====

(2)
Material: SiAsRuBr2
Method: DFT, PBE
State: optimized geometry

crystal system	tetragonal
formation energy from raw total energies	24.2	kcal/mol of atoms
distance to the lowest polymorph of the same formula	1.778	eV/f.u.

Unit cell a=4.9258 b=4.9258 c=5.0714 alpha=90.00 beta=90.00 gamma=90.00
With the nearest neighbours (Å) after each atom.
Space group P4/mmm (No. 123)
Inequivalent atoms, fractional coordinates:
Si1 0.0000 0.0000 0.0000  4 Br 2.46, 2 As 2.54
As1 0.0000 0.0000 0.5000  2 Si 2.54
Ru1 0.5000 0.5000 0.5000  4 As 3.48, 8 Br 3.53
Br1 0.0000 0.5000 0.0000  2 Si 2.46

=====

(3)
Material: ErZn12Ag6
Method: DFT, PBE
State: optimized geometry

total DFT energy (no corrections)	-1.94	eV/atom
crystal system	trigonal

Unit cell a=11.5505 b=11.5505 c=8.8280 alpha=90.00 beta=90.00 gamma=120.00
With the nearest neighbours (Å) after each atom.
Space group R-3m (No. 166, hexagonal axes)
Inequivalent atoms, fractional coordinates:
Er1 0.0000 0.0000 0.0000  6 Zn 3.01
Zn1 0.0000 0.3918 0.5000  3 Zn 2.50-2.74, 4 Ag 2.61-2.74
Zn2 0.0814 0.1628 0.2865  4 Ag 2.70-2.81, 4 Zn 2.74-2.82, 1 Er 3.01
Ag1 0.0585 0.5292 0.2320  8 Zn 2.61-2.81

=====

(4)
Material: Dy3Er3PdRu2
Method: DFT, PBE
State: optimized geometry

total DFT energy (no corrections)	-6.08	eV/atom
crystal system	hexagonal

Unit cell a=7.2685 b=7.2685 c=4.7342 alpha=90.00 beta=90.00 gamma=120.00
With the nearest neighbours (Å) after each atom.
Space group P-62m (No. 189)
Inequivalent atoms, fractional coordinates:
Dy1 0.0000 0.2685 0.0000  2 Ru 2.69
Er1 0.0000 0.5864 0.5000  1 Pd 3.01, 4 Ru 3.22, 2 Dy 3.31
Pd1 0.0000 0.0000 0.5000  3 Er 3.01, 6 Dy 3.07
Ru1 0.3333 0.6667 0.0000  3 Dy 2.69

=====

(5)
Material: Li2Sb2Te
Method: DFT, PBE
State: optimized geometry

crystal system	tetragonal
formation energy from raw total energies	-6.3	kcal/mol of atoms
distance to the lowest polymorph of the same formula	0.000	eV/f.u.

Unit cell a=8.7538 b=8.7538 c=3.1731 alpha=90.00 beta=90.00 gamma=90.00
With the nearest neighbours (Å) after each atom.
Space group P4/mbm (No. 127)
Inequivalent atoms, fractional coordinates:
Li1 0.1160 0.3840 0.0000  3 Li 2.87-3.17, 6 Sb 2.94-3.13
Sb1 0.1840 0.6840 0.5000  6 Li 2.94-3.13, 2 Sb 3.17, 2 Te 3.20
Te1 0.0000 0.0000 0.5000  2 Te 3.17, 4 Sb 3.20

=====

(6)
Material: ZnMoPt2
Method: DFT, PBE
State: optimized geometry

total DFT energy (no corrections)	-6.24	eV/atom
crystal system	tetragonal

Unit cell a=3.9514 b=3.9514 c=7.7899 alpha=90.00 beta=90.00 gamma=90.00
With the nearest neighbours (Å) after each atom.
Space group I-4m2 (No. 119)
Inequivalent atoms, fractional coordinates:
Zn1 0.0000 0.0000 0.0000  4 Mo 2.77, 8 Pt 2.77-2.79
Mo1 0.0000 0.5000 0.7500  8 Pt 2.77-2.79, 4 Zn 2.77
Pt1 0.0000 0.0000 0.5000  4 Pt 2.77, 4 Mo 2.77, 4 Zn 2.79
Pt2 0.0000 0.5000 0.2500  4 Pt 2.77, 4 Zn 2.77, 4 Mo 2.79